{"formula": "Sm7Ho12Cd", "functional": "PBE", "state": "relaxed", "dos_ef_per_ev_fu": 36.816, "magnetic_moment_mub_per_cell": 0.0, "sg": "R-3 (148)", "e_form_kj_per_mol_fu": 370.9, "dft_energy_ev_per_atom": -4.252, "lattice_angstrom": [[-4.237, 5.515, -5.243], [-7.566, -3.892, 1.860], [-1.294, 5.477, 6.647]], "species": ["Sm", "Sm", "Sm", "Sm", "Sm", "Sm", "Sm", "Ho", "Ho", "Ho", "Ho", "Ho", "Ho", "Ho", "Ho", "Ho", "Ho", "Ho", "Ho", "Cd"], "frac_coords": [[0.216, 0.621, 0.766], [0.379, 0.234, 0.784], [0.234, 0.784, 0.379], [0.500, 0.500, 0.500], [0.766, 0.216, 0.621], [0.621, 0.766, 0.216], [0.784, 0.379, 0.234], [0.006, 0.332, 0.892], [0.668, 0.108, 0.994], [0.463, 0.122, 0.340], [0.878, 0.660, 0.537], [0.108, 0.994, 0.668], [0.660, 0.537, 0.878], [0.340, 0.463, 0.122], [0.892, 0.006, 0.332], [0.122, 0.340, 0.463], [0.537, 0.878, 0.660], [0.332, 0.892, 0.006], [0.994, 0.668, 0.108], [0.000, 0.000, 0.000]]}


{"formula": "Sm3Ho4Cd", "functional": "PBE", "state": "relaxed", "dos_ef_per_ev_fu": 9.856, "magnetic_moment_mub_per_cell": 0.0, "sg": "Pmn2_1 (31)", "e_form_kj_per_mol_fu": -36.0, "dft_energy_ev_per_atom": -4.220, "relative_energy_ev_per_atom": 0.020, "lattice_angstrom": [[6.196, 0.000, 0.000], [0.000, 7.058, 0.000], [0.000, 0.000, 11.239]], "species": ["Sm", "Sm", "Sm", "Sm", "Sm", "Sm", "Ho", "Ho", "Ho", "Ho", "Ho", "Ho", "Ho", "Ho", "Cd", "Cd"], "frac_coords": [[0.626, 0.629, 0.000], [0.979, 0.618, 0.236], [0.479, 0.382, 0.264], [0.126, 0.371, 0.500], [0.479, 0.382, 0.736], [0.979, 0.618, 0.764], [0.164, 0.886, 0.000], [0.641, 0.130, 0.000], [0.987, 0.125, 0.241], [0.487, 0.875, 0.259], [0.141, 0.870, 0.500], [0.664, 0.114, 0.500], [0.487, 0.875, 0.741], [0.987, 0.125, 0.759], [0.153, 0.367, 0.000], [0.653, 0.633, 0.500]]}


{"formula": "SmHo2Cd4", "functional": "PBE", "state": "relaxed", "dos_ef_per_ev_fu": 4.965, "magnetic_moment_mub_per_cell": 0.0, "sg": "I4/mmm (139)", "e_form_kj_per_mol_fu": -100.4, "dft_energy_ev_per_atom": -2.654, "lattice_angstrom": [[-3.118, 3.847, 2.024], [-1.305, 1.548, -4.952], [-3.154, -7.072, 1.510]], "species": ["Ho", "Ho", "Sm", "Cd", "Cd", "Cd", "Cd"], "frac_coords": [[0.741, 0.741, 0.481], [0.259, 0.259, 0.519], [0.000, 0.000, 0.000], [0.382, 0.882, 0.764], [0.882, 0.382, 0.764], [0.618, 0.118, 0.236], [0.118, 0.618, 0.236]]}


{"formula": "Sm3Ho2Cd6", "functional": "PBE", "state": "relaxed", "dos_ef_per_ev_fu": 11.403, "magnetic_moment_mub_per_cell": 0.0, "sg": "I4/mmm (139)", "e_form_kj_per_mol_fu": 9.3, "dft_energy_ev_per_atom": -2.610, "lattice_angstrom": [[4.182, 0.000, 0.000], [0.000, 4.182, 0.000], [-2.091, -2.091, 18.446]], "species": ["Sm", "Sm", "Sm", "Ho", "Ho", "Cd", "Cd", "Cd", "Cd", "Cd", "Cd"], "frac_coords": [[0.000, 0.000, 0.000], [0.814, 0.814, 0.629], [0.186, 0.186, 0.371], [0.366, 0.366, 0.732], [0.634, 0.634, 0.268], [0.068, 0.568, 0.136], [0.568, 0.068, 0.136], [0.932, 0.432, 0.864], [0.432, 0.932, 0.864], [0.726, 0.726, 0.451], [0.274, 0.274, 0.549]]}


{"formula": "SmHo5Cd4", "functional": "PBE", "state": "relaxed", "dos_ef_per_ev_fu": 13.048, "magnetic_moment_mub_per_cell": 0.0, "sg": "P4/mmm (123)", "e_form_kj_per_mol_fu": -232.1, "dft_energy_ev_per_atom": -3.367, "lattice_angstrom": [[3.686, 0.000, 0.000], [0.000, 3.686, 0.000], [0.000, 0.000, 20.149]], "species": ["Sm", "Ho", "Ho", "Ho", "Ho", "Ho", "Cd", "Cd", "Cd", "Cd"], "frac_coords": [[0.000, 0.000, 0.000], [0.500, 0.500, 0.123], [0.500, 0.500, 0.312], [0.500, 0.500, 0.500], [0.500, 0.500, 0.688], [0.500, 0.500, 0.877], [0.000, 0.000, 0.217], [0.000, 0.000, 0.405], [0.000, 0.000, 0.595], [0.000, 0.000, 0.783]]}


{"formula": "Sm2Ho3Cd3", "functional": "PBE", "state": "relaxed", "dos_ef_per_ev_fu": 9.928, "magnetic_moment_mub_per_cell": 0.0, "sg": "Pmmm (47)", "e_form_kj_per_mol_fu": -135.4, "dft_energy_ev_per_atom": -3.415, "relative_energy_ev_per_atom": 0.053, "lattice_angstrom": [[-0.633, 2.572, 4.129], [-4.857, -0.454, -0.461], [0.264, -7.817, 4.909]], "species": ["Sm", "Sm", "Ho", "Ho", "Ho", "Cd", "Cd", "Cd"], "frac_coords": [[0.000, 0.000, 0.742], [0.000, 0.000, 0.258], [0.500, 0.500, 0.730], [0.500, 0.500, 0.270], [0.500, 0.000, 0.000], [0.500, 0.000, 0.500], [0.000, 0.500, 0.000], [0.000, 0.500, 0.500]]}


{"formula": "SmHo7Cd2", "functional": "PBE", "state": "relaxed", "dos_ef_per_ev_fu": 19.781, "magnetic_moment_mub_per_cell": 2.7, "sg": "Cmmm (65)", "e_form_kj_per_mol_fu": 404.3, "dft_energy_ev_per_atom": -3.440, "lattice_angstrom": [[5.327, 0.000, 0.000], [0.000, 8.906, -0.253], [0.000, -4.156, 7.881]], "species": ["Sm", "Ho", "Ho", "Ho", "Ho", "Ho", "Ho", "Ho", "Cd", "Cd"], "frac_coords": [[0.000, 0.000, 0.000], [0.000, 0.769, 0.231], [0.000, 0.231, 0.769], [0.500, 0.062, 0.301], [0.500, 0.938, 0.699], [0.500, 0.301, 0.062], [0.500, 0.699, 0.938], [0.500, 0.500, 0.500], [0.500, 0.696, 0.304], [0.500, 0.304, 0.696]]}


{"formula": "Sm3HoCd2", "functional": "PBE", "state": "relaxed", "dos_ef_per_ev_fu": 7.395, "magnetic_moment_mub_per_cell": 0.3, "sg": "P4/mmm (123)", "e_form_kj_per_mol_fu": -110.5, "dft_energy_ev_per_atom": -3.618, "lattice_angstrom": [[3.724, 0.000, 0.000], [0.000, 3.724, 0.000], [0.000, 0.000, 12.729]], "species": ["Sm", "Sm", "Sm", "Ho", "Cd", "Cd"], "frac_coords": [[0.000, 0.000, 0.000], [0.000, 0.000, 0.690], [0.000, 0.000, 0.310], [0.500, 0.500, 0.500], [0.500, 0.500, 0.844], [0.500, 0.500, 0.156]]}


{"formula": "Sm2HoCd8", "functional": "PBE", "state": "relaxed", "dos_ef_per_ev_fu": 5.693, "magnetic_moment_mub_per_cell": 0.0, "sg": "C2/m (12)", "e_form_kj_per_mol_fu": -257.5, "dft_energy_ev_per_atom": -2.182, "lattice_angstrom": [[-4.060, 2.410, 1.627], [0.417, -3.458, 6.161], [6.302, 5.488, -0.066]], "species": ["Ho", "Sm", "Sm", "Cd", "Cd", "Cd", "Cd", "Cd", "Cd", "Cd", "Cd"], "frac_coords": [[0.500, 0.000, 0.000], [0.216, 0.648, 0.432], [0.784, 0.352, 0.568], [0.672, 0.893, 0.344], [0.411, 0.540, 0.821], [0.144, 0.133, 0.288], [0.984, 0.283, 0.969], [0.856, 0.867, 0.712], [0.589, 0.460, 0.179], [0.328, 0.107, 0.656], [0.016, 0.717, 0.031]]}


{"formula": "Sm2Ho3Cd2", "functional": "PBE", "state": "relaxed", "dos_ef_per_ev_fu": 8.730, "magnetic_moment_mub_per_cell": 0.0, "sg": "R-3m (166)", "e_form_kj_per_mol_fu": -98.9, "dft_energy_ev_per_atom": -3.718, "relative_energy_ev_per_atom": 0.000, "lattice_angstrom": [[-2.862, 2.761, -3.668], [3.538, -3.769, -1.608], [-7.157, -3.951, 2.610]], "species": ["Sm", "Sm", "Ho", "Ho", "Ho", "Cd", "Cd"], "frac_coords": [[0.925, 0.851, 0.275], [0.075, 0.149, 0.725], [0.500, 0.000, 0.000], [0.656, 0.312, 0.468], [0.344, 0.688, 0.532], [0.787, 0.574, 0.862], [0.213, 0.426, 0.138]]}


{"formula": "SmHo8Cd2", "functional": "PBE", "state": "relaxed", "dos_ef_per_ev_fu": 13.406, "magnetic_moment_mub_per_cell": 0.0, "sg": "C2/m (12)", "e_form_kj_per_mol_fu": 40.9, "dft_energy_ev_per_atom": -3.886, "lattice_angstrom": [[-2.499, -3.593, 3.424], [-4.398, -1.400, -7.358], [8.264, -2.601, 0.622]], "species": ["Sm", "Ho", "Ho", "Ho", "Ho", "Ho", "Ho", "Ho", "Ho", "Cd", "Cd"], "frac_coords": [[0.500, 0.000, 0.000], [0.885, 0.906, 0.679], [0.885, 0.679, 0.906], [0.298, 0.598, 0.598], [0.500, 0.779, 0.221], [0.500, 0.221, 0.779], [0.702, 0.402, 0.402], [0.115, 0.321, 0.094], [0.115, 0.094, 0.321], [0.000, 0.306, 0.694], [0.000, 0.694, 0.306]]}


{"formula": "SmHo2Cd3", "functional": "PBE", "state": "relaxed", "dos_ef_per_ev_fu": 6.585, "magnetic_moment_mub_per_cell": 0.5, "sg": "P4/mmm (123)", "e_form_kj_per_mol_fu": -182.5, "dft_energy_ev_per_atom": -3.085, "lattice_angstrom": [[3.751, 0.000, 0.000], [0.000, 3.751, 0.000], [0.000, 0.000, 11.310]], "species": ["Sm", "Ho", "Ho", "Cd", "Cd", "Cd"], "frac_coords": [[0.500, 0.500, 0.500], [0.500, 0.500, 0.836], [0.500, 0.500, 0.164], [0.000, 0.000, 0.000], [0.000, 0.000, 0.675], [0.000, 0.000, 0.325]]}